1.
PrDy2HoMg | Alexandria | GGA-PBE | relaxed; E_tot = -40.143 eV/cell; space group = P2_1/m; spin magnetization = 0.0 Bohr magnetons per cell; crystal system = monoclinic
1.0
6.184 0.000 0.000
0.000 5.614 0.000
-3.072 0.000 8.904
Pr Dy Ho Mg
2 4 2 2
Direct
0.037 0.250 0.387
0.963 0.750 0.613
0.377 0.750 0.394
0.449 0.250 0.201
0.551 0.750 0.799
0.623 0.250 0.606
0.161 0.750 0.999
0.839 0.250 0.001
0.235 0.250 0.809
0.765 0.750 0.191

2.
Te2PtIN | Alexandria | GGA-PBE | relaxed; energy relative to the elements, uncorrected = 1.608 eV/atom; E_tot = -14.159 eV/cell; distance to the lowest polymorph of the same formula = 1072 meV/atom; space group = P4/mmm; spin magnetization = 0.0 Bohr magnetons per cell; crystal system = tetragonal
1.0
5.270 0.000 0.000
0.000 5.270 0.000
0.000 0.000 5.443
Te Pt I N
2 1 1 1
Direct
0.000 0.500 0.000
0.500 0.000 0.000
0.000 0.000 0.000
0.000 0.000 0.500
0.500 0.500 0.500

3.
LiAlAs2Br | Alexandria | GGA-PBE | relaxed; energy relative to the elements, uncorrected = 0.019 eV/atom; E_tot = -16.534 eV/cell; distance to the lowest polymorph of the same formula = 0 meV/atom; space group = P4/mmm; spin magnetization = 0.0 Bohr magnetons per cell; crystal system = tetragonal
1.0
4.790 0.000 0.000
0.000 4.790 0.000
0.000 0.000 5.738
Li Al As Br
1 1 2 1
Direct
0.000 0.000 0.000
0.500 0.500 0.500
0.000 0.500 0.500
0.500 0.000 0.500
0.500 0.500 0.000

4.
InGeRu3 | Alexandria | GGA-PBE | relaxed; E_tot = -25.037 eV/cell; distance to the lowest polymorph of the same formula = 1248 meV/atom; space group = Pm-3m; spin magnetization = 5.2 Bohr magnetons per cell; crystal system = cubic
1.0
4.888 0.000 0.000
0.000 4.888 0.000
0.000 0.000 4.888
In Ge Ru
1 1 3
Direct
0.000 0.000 0.000
0.500 0.500 0.500
0.000 0.000 0.500
0.000 0.500 0.000
0.500 0.000 0.000

5.
Mg9Ga2Hg | Alexandria | GGA-PBE | relaxed; E_tot = -22.012 eV/cell; space group = P4/mmm; spin magnetization = 0.0 Bohr magnetons per cell; crystal system = tetragonal
1.0
4.366 0.000 0.000
0.000 4.366 0.000
0.000 0.000 13.118
Mg Ga Hg
9 2 1
Direct
0.000 0.000 0.000
0.000 0.000 0.335
0.000 0.000 0.665
0.000 0.500 0.170
0.000 0.500 0.500
0.000 0.500 0.830
0.500 0.000 0.170
0.500 0.000 0.500
0.500 0.000 0.830
0.500 0.500 0.335
0.500 0.500 0.665
0.500 0.500 0.000

6.
NiSb2Os | Alexandria | GGA-PBE | relaxed; energy relative to the elements, uncorrected = 0.246 eV/atom; E_tot = -24.271 eV/cell; distance to the lowest polymorph of the same formula = 59 meV/atom; space group = Cm; spin magnetization = 0.0 Bohr magnetons per cell; crystal system = monoclinic
1.0
4.214 -1.615 0.000
4.214 1.615 0.000
-2.243 0.000 6.425
Ni Sb Os
1 2 1
Direct
0.000 0.000 0.000
0.477 0.477 0.650
0.756 0.756 0.154
0.237 0.237 0.822

7.
Ga6HgS8 | Alexandria | GGA-PBE | relaxed; energy relative to the elements, uncorrected = -0.396 eV/atom; E_tot = -57.430 eV/cell; space group = R-3; spin magnetization = 0.0 Bohr magnetons per cell; crystal system = trigonal
1.0
5.154 2.976 3.680
-5.154 2.976 3.680
0.000 -5.951 3.680
Ga Hg S
6 1 8
Direct
0.131 0.694 0.808
0.192 0.869 0.306
0.306 0.192 0.869
0.694 0.808 0.131
0.808 0.131 0.694
0.869 0.306 0.192
0.500 0.500 0.500
0.086 0.357 0.688
0.169 0.169 0.169
0.312 0.914 0.643
0.357 0.688 0.086
0.643 0.312 0.914
0.688 0.086 0.357
0.831 0.831 0.831
0.914 0.643 0.312

8.
KLiBe2 | Alexandria | GGA-PBE | relaxed; E_tot = -6.516 eV/cell; distance to the lowest polymorph of the same formula = 811 meV/atom; space group = R-3m; spin magnetization = 0.0 Bohr magnetons per cell; crystal system = trigonal
1.0
1.371 0.792 10.246
-1.371 0.792 10.246
0.000 -1.583 10.246
K Li Be
1 1 2
Direct
0.000 0.000 0.000
0.500 0.500 0.500
0.239 0.239 0.239
0.761 0.761 0.761